# PBE-GGA Zr3Tl4PdS8, relaxed
data_Zr3Tl4PdS8
_cell_length_a 7.438
_cell_length_b 8.986
_cell_length_c 7.424
_cell_angle_alpha 114.59
_cell_angle_beta 120.06
_cell_angle_gamma 90.00
_space_group_name_H-M_alt 'P 1'
_space_group_IT_number 1
loop_
_space_group_symop_operation_xyz
'x,y,z'
loop_
_atom_site_label
_atom_site_fract_x
_atom_site_fract_y
_atom_site_fract_z
Zr1 0.500 0.500 0.000
S1 0.273 0.314 0.043
S2 0.774 0.317 0.548
S3 0.230 0.686 0.957
S4 0.270 0.312 0.540
S5 0.730 0.688 0.460
Zr2 0.500 0.500 0.500
S6 0.727 0.686 0.957
Tl1 0.000 0.000 0.500
S7 0.770 0.314 0.043
Pd1 0.000 0.500 0.000
Zr3 0.000 0.500 0.500
Tl2 0.500 0.000 0.500
Tl3 0.500 0.000 0.000
Tl4 0.000 0.000 0.000
S8 0.226 0.683 0.452
# magnetization: 0.00 μB/f.u.
# formation energy from raw total energies: -0.9229 eV/atom